[1]
Density functional theory data (GGA-PBE) for a relaxed K2ThCrN4 crystal.

Geometry as extended XYZ:
```
16
Lattice="5.3657 0.0000 0.0000 0.0000 8.0717 0.0000 0.0000 0.0000 6.6700" Properties=species:S:1:pos:R:3 pbc="T T T"
K 2.4205 3.0203 1.7902
K 2.4205 3.0203 4.8798
K 5.1034 5.0514 5.1252
K 5.1034 5.0514 1.5448
Th 5.1531 0.7214 3.3350
Th 2.4703 7.3503 0.0000
Cr 2.7457 6.6836 3.3350
Cr 0.0628 1.3881 0.0000
N 1.7721 1.3827 0.0000
N 4.4550 6.6890 3.3350
N 2.3687 0.3409 3.3350
N 5.0516 7.7308 0.0000
N 2.2909 5.8929 4.8640
N 4.9738 2.1788 1.5290
N 4.9738 2.1788 5.1409
N 2.2909 5.8929 1.8059
```

Results
Raw formation energy in meV per atom: -632
Volume in Å³ per cell: 288.9
E in eV per formula unit: -57.60


[2]
Density functional theory data (GGA-PBE) for a relaxed K4U3CrN8 crystal.

Geometry as extended XYZ:
```
16
Lattice="6.8744 0.0000 0.0000 0.0000 7.4872 0.4078 -3.4372 -3.4230 4.8721" Properties=species:S:1:pos:R:3 pbc="T T T"
K 3.4372 0.0000 0.0000
K 1.7186 -1.7115 2.4361
K 0.0000 0.0000 0.0000
K -1.7186 -1.7115 2.4361
U 3.4372 3.7436 0.2039
U 1.7186 2.0321 2.6400
U -1.7186 2.0321 2.6400
Cr 0.0000 3.7436 0.2039
N -1.6743 1.7378 4.8279
N 0.0000 3.4053 2.4559
N 0.0000 0.6065 2.8509
N 1.6743 1.7378 4.8279
N 1.7629 2.3264 0.4521
N 3.4372 3.4577 2.4291
N 3.4372 0.6589 2.8240
N 5.1115 2.3264 0.4521
```

Results
Raw formation energy in meV per atom: -799
Volume in Å³ per cell: 260.4
E in eV per formula unit: -127.26


[3]
Density functional theory data (GGA-PBE) for a relaxed KUCrN3 crystal.

Geometry as extended XYZ:
```
12
Lattice="-1.0694 -1.7874 -3.0879 -1.2807 -4.1928 5.1169 -6.3603 4.3761 -0.3304" Properties=species:S:1:pos:R:3 pbc="T T T"
K -7.2755 0.4523 2.2578
K -1.4349 -2.0563 -0.5592
U -4.7275 0.0885 -0.6605
U -3.9829 -1.6926 2.3590
Cr -1.9731 1.2772 -0.0560
Cr -6.7373 -2.8813 1.7546
N -3.4529 -3.3190 0.8705
N -5.5601 -1.5840 0.5960
N -2.6000 0.4206 -1.5895
N -3.1503 -0.0200 1.1026
N -6.1104 -2.0246 3.2880
N -5.2575 1.7149 0.8281
```

Results
Raw formation energy in meV per atom: -779
Volume in Å³ per cell: 181.0
E in eV per formula unit: -51.66